Entry 1:
# Sb2RuRh

A geometry-optimized Sb2RuRh structure (GGA-PBEsol, Alexandria via LeMat-Bulk).

The value obtained for the density is 10.84 g/cm³. Its crystal system is tetragonal. Its space group is I4/mmm, No. 139. The energy relative to the elements, uncorrected comes out at 0.11 eV/f.u. For the magnetic moment, the calculation gives 0.68 Bohr magnetons per cell. For the energy above the lowest structure with this stoichiometry, the calculation gives 52 meV/atom.

Cell: 4.5370 4.6237 4.5370 Å, 119.38 90.00 119.38°
Closest atoms and distances in Å follow each position.
Fractional positions:
Sb: 0.7500 0.5000 0.2500  4 Rh 2.81, 4 Ru 2.81
Rh: 0.0000 0.0000 0.0000  8 Sb 2.81
Sb: 0.2500 0.5000 0.7500  4 Ru 2.81, 4 Rh 2.81
Ru: 0.5000 0.0000 0.5000  8 Sb 2.81



Entry 2:
# MnMoRh2

A geometry-optimized MnMoRh2 structure (GGA-PBEsol, Alexandria via LeMat-Bulk).

The value obtained for the density is 11.12 g/cm³. Its crystal system is tetragonal. The calculation puts the energy relative to the elements at -120 meV/atom. Its space group is I4/mmm, No. 139. For the magnetic moment, the calculation gives 1.73 Bohr magnetons per cell. For the energy above the lowest structure with this stoichiometry, the calculation gives 28 meV/atom.

Cell: 3.7735 3.7735 4.5940 Å, 114.25 114.25 90.00°
Closest atoms and distances in Å follow each position.
Fractional positions:
Mn: 0.5000 0.5000 0.0000  8 Rh 2.66, 4 Mo 2.67
Rh: 0.7500 0.2500 0.5000  4 Mo 2.66, 4 Mn 2.66, 4 Rh 2.67
Rh: 0.2500 0.7500 0.5000  4 Mo 2.66, 4 Mn 2.66, 4 Rh 2.67
Mo: 0.0000 0.0000 0.0000  8 Rh 2.66, 4 Mn 2.67



Entry 3:
# LiTi3H

A geometry-optimized LiTi3H structure (GGA-PBEsol, Alexandria via LeMat-Bulk).

The value obtained for the density is 3.83 g/cm³. As for the calculated total energy: -5.983 eV/atom. Its crystal system is cubic. Its space group is Pm-3m, No. 221. For the magnetic moment, the calculation gives 0.00 Bohr magnetons per cell.

Cell: 4.0369 4.0369 4.0369 Å, 90.00 90.00 90.00°
Closest atoms and distances in Å follow each position.
Fractional positions:
Ti: 0.0000 0.0000 0.5000  2 H 2.02
Li: 0.5000 0.5000 0.5000  12 Ti 2.85
Ti: 0.5000 0.0000 0.0000  2 H 2.02
H: 0.0000 0.0000 0.0000  6 Ti 2.02
Ti: 0.0000 0.5000 0.0000  2 H 2.02



Entry 4:
# MgAlCrS4

A geometry-optimized MgAlCrS4 structure (GGA-PBEsol, Alexandria via LeMat-Bulk).

The value obtained for the density is 2.98 g/cm³. Its crystal system is orthorhombic. Its space group is Imma, No. 74. The energy relative to the elements, uncorrected comes out at -7.41 eV/f.u. For the magnetic moment, the calculation gives 6.00 Bohr magnetons per cell.

Cell: 7.1190 7.1514 7.1514 Å, 60.13 60.15 60.15°
Closest atoms and distances in Å follow each position.
Fractional positions:
S: 0.2106 0.7625 0.2625  2 Cr 2.40, 1 Al 2.41, 1 Mg 2.42
Mg: 0.3735 0.3765 0.8765  4 S 2.41-2.42
Al: 0.5000 0.0000 0.5000  6 S 2.41
S: 0.7644 0.7625 0.2625  2 Cr 2.40, 1 Al 2.41, 1 Mg 2.42
S: 0.2359 0.2401 0.2880  1 Cr 2.40, 1 Mg 2.41, 2 Al 2.41
Cr: 0.0000 0.0000 0.0000  6 S 2.40
S: 0.2359 0.7880 0.7401  1 Cr 2.40, 1 Mg 2.41, 2 Al 2.41
S: 0.7894 0.2375 0.7375  2 Cr 2.40, 1 Al 2.41, 1 Mg 2.42
S: 0.2356 0.2375 0.7375  2 Cr 2.40, 1 Al 2.41, 1 Mg 2.42
Mg: 0.6265 0.6235 0.1235  4 S 2.41-2.42
Cr: 0.0000 0.5000 0.5000  6 S 2.40
S: 0.7641 0.7599 0.7120  1 Cr 2.40, 1 Mg 2.41, 2 Al 2.41
Al: 0.0000 0.0000 0.5000  6 S 2.41
S: 0.7641 0.2120 0.2599  1 Cr 2.40, 1 Mg 2.41, 2 Al 2.41



Entry 5:
# Au2BrCl

A geometry-optimized Au2BrCl structure (GGA-PBEsol, Alexandria via LeMat-Bulk).

The value obtained for the density is 8.67 g/cm³. Its crystal system is orthorhombic. Its space group is Cmm2, No. 35. The energy relative to the elements, uncorrected comes out at -0.25 eV/f.u. For the magnetic moment, the calculation gives 0.00 Bohr magnetons per cell. For the energy above the lowest structure with this stoichiometry, the calculation gives 0 meV/atom.

Cell: 3.5662 3.7701 8.2305 Å, 90.00 90.00 118.23°
Closest atoms and distances in Å follow each position.
Fractional positions:
Au: 0.5000 0.0000 0.2323  2 Br 2.50, 2 Au 2.56
Br: 0.0000 0.0000 0.4456  2 Au 2.50
Au: 0.0000 0.0000 0.0088  2 Cl 2.40, 2 Au 2.56
Cl: 0.5000 0.0000 0.8133  2 Au 2.40



Entry 6:
# SrMnAl

A geometry-optimized SrMnAl structure (GGA-PBEsol, Alexandria via LeMat-Bulk).

The value obtained for the density is 3.68 g/cm³. Its crystal system is hexagonal. The calculation puts the energy relative to the elements at 340 meV/atom. Its space group is P-6m2, No. 187. For the magnetic moment, the calculation gives 3.39 Bohr magnetons per cell.

Cell: 4.3324 4.5174 4.5174 Å, 120.00 90.00 90.00°
Closest atoms and distances in Å follow each position.
Fractional positions:
Mn: 0.8335 0.3333 0.6667  3 Al 2.61
Al: 0.8332 0.0000 0.0000  3 Mn 2.61
Sr: 0.3333 0.6667 0.3333  6 Mn 3.39, 6 Al 3.39